IrRhIN2 (PBE, relaxed); offset from the most stable computed form = 500.3 meV per atom; crystal system = tetragonal
1.0
3.741 0.000 0.000
0.000 3.741 0.000
0.000 0.000 8.281
Ir Rh I N
1 1 1 2
Cartesian
0.000 0.000 0.000
1.871 1.871 4.140
1.871 1.871 0.000
0.000 1.871 4.140
1.871 0.000 4.140

PaV3H6 (PBE, relaxed); crystal system = trigonal; VASP energy = -58.747 eV/cell
1.0
2.275 1.314 4.998
-2.275 1.314 4.998
0.000 -2.628 4.998
Pa V H
1 3 6
Cartesian
0.000 0.000 0.000
0.000 0.000 2.659
0.000 0.000 7.087
0.000 0.000 12.053
-1.119 -0.665 5.741
-1.392 -0.173 8.236
-0.016 1.302 5.741
1.136 -0.637 5.741
0.846 -1.119 8.236
0.547 1.292 8.236

BaIF2 (PBE, relaxed); offset from the most stable computed form = 332.0 meV per atom; crystal system = cubic
1.0
0.000 3.566 3.566
3.566 0.000 3.566
3.566 3.566 0.000
Ba I F
1 1 2
Cartesian
0.000 0.000 0.000
3.566 3.566 3.566
1.783 1.783 1.783
5.350 5.350 5.350

La3BiRuBr (PBE, relaxed); crystal system = monoclinic; VASP energy = -68.748 eV/cell
1.0
7.635 0.000 0.000
0.000 4.338 0.000
-3.117 0.000 11.521
La Bi Ru Br
6 2 2 2
Cartesian
-1.135 1.084 4.214
1.699 1.084 0.033
1.759 3.253 7.202
2.759 1.084 4.318
2.819 3.253 11.488
5.652 3.253 7.307
0.706 3.253 2.263
3.812 1.084 9.258
0.274 1.084 6.425
4.243 3.253 5.096
0.094 3.253 9.944
4.424 1.084 1.577

Sr2GePb (PBE, relaxed); ΔH_f (0 K) = -0.560 eV per atom; offset from the most stable computed form = 0.0 meV per atom; crystal system = monoclinic
1.0
6.510 0.000 0.000
0.000 4.452 0.000
-2.600 0.000 9.187
Sr Ge Pb
4 2 2
Cartesian
0.122 1.113 3.872
1.677 3.339 0.540
2.233 1.113 8.648
3.788 3.339 5.316
-1.173 1.113 7.254
5.084 3.339 1.933
0.576 3.339 6.518
3.334 1.113 2.669

Rb3HoP2O8 (PBE, relaxed); crystal system = trigonal; VASP energy = -93.967 eV/cell
1.0
5.732 0.000 0.000
-2.866 4.964 0.000
0.000 0.000 8.246
Rb Ho P O
3 1 2 8
Cartesian
0.000 0.000 0.000
0.000 3.309 6.242
2.866 1.655 2.004
0.000 0.000 4.123
0.000 3.309 2.286
2.866 1.655 5.959
0.000 1.837 2.824
-1.275 4.045 2.824
0.000 3.309 0.756
1.591 0.919 5.422
1.275 4.045 2.824
2.866 1.655 7.489
4.141 0.919 5.422
2.866 3.127 5.422

Mass density per entry: 6.45; 7.22; 5.53; 7.02; 5.68; 4.33 g cm⁻³